# 1
DFT (PBE-GGA) results for Nd10Bi3Sb3 after structural relaxation.

The calculation puts the total energy at -5.351 eV/atom. As for the density: 7993 kg/m³. The uncorrected formation energy is -870 meV/atom. Its total moment is 1.1 Bohr magnetons per cell.

It has space group P-62m (No. 189), with a = 9.4327 Å, b = 9.4327 Å, c = 6.5644 Å, α = 90.00°, β = 90.00° and γ = 120.00°. The distinct sites, in fractional coordinates, are Nd at (0.0000, 0.2485, 0.0000), Nd at (0.0000, 0.7517, 0.5000), Nd at (0.3333, 0.6667, 0.2463), Bi at (0.0000, 0.3881, 0.5000) and Sb at (0.0000, 0.6143, 0.0000).

# 2
DFT (PBE-GGA) results for Nd2BiSb after structural relaxation.

The calculation puts the total energy at -5.454 eV/atom. As for the density: 7636 kg/m³. The uncorrected formation energy is -1070 meV/atom. Its total moment is 0.0 Bohr magnetons per cell. The energy relative to the lowest polymorph listed for this composition comes out at 0.0 meV per atom.

It has space group C2/c (No. 15), with a = 9.140 Å, b = 18.249 Å, c = 7.911 Å, α = 90.00°, β = 125.27° and γ = 90.00°. The distinct sites, in fractional coordinates, are Nd at (0.242, 0.063, 0.246), Nd at (0.248, 0.187, 0.746), Bi at (0.000, 0.313, 0.750), Bi at (0.000, 0.438, 0.250), Sb at (0.000, 0.063, 0.750) and Sb at (0.000, 0.188, 0.250).

# 3
DFT (PBE-GGA) results for NdBiSb after structural relaxation.

The calculation puts the total energy at -4.851 eV/atom. As for the density: 8196 kg/m³. The uncorrected formation energy is -594 meV/atom. Its total moment is 0.0 Bohr magnetons per cell. The energy relative to the lowest polymorph listed for this composition comes out at 103.3 meV per atom.

It has space group C2/m (No. 12), with a = 11.134 Å, b = 4.286 Å, c = 8.072 Å, α = 90.00°, β = 92.19° and γ = 90.00°. The distinct sites, in fractional coordinates, are Nd at (0.080, 0.000, 0.246), Bi at (0.127, 0.500, 0.914) and Sb at (0.207, 0.000, 0.622).

# 4
DFT (PBE-GGA) results for Nd2BiSb after structural relaxation.

The calculation puts the total energy at -5.454 eV/atom. As for the density: 7635 kg/m³. The uncorrected formation energy is -1069 meV/atom. Its total moment is 0.0 Bohr magnetons per cell. The energy relative to the lowest polymorph listed for this composition comes out at 0.7 meV per atom.

It has space group R-3m (No. 166, hexagonal axes), with a = 4.5667 Å, b = 4.5667 Å, c = 22.3675 Å, α = 90.00°, β = 90.00° and γ = 120.00°. The distinct sites, in fractional coordinates, are Nd at (0.0000, 0.0000, 0.2481), Bi at (0.0000, 0.0000, 0.0000) and Sb at (0.0000, 0.0000, 0.5000).

> Which formula does entry 1 have?

Nd10Bi3Sb3